Entry 1:
This record from the Alexandria database describes a relaxed H2PtN crystal. The functional is PBE.

```
data_H2PtN
_chemical_formula_sum 'H2 Pt1 N1'
_cell_length_a 3.4546
_cell_length_b 3.4546
_cell_length_c 3.4546
_cell_angle_alpha 60.00
_cell_angle_beta 60.00
_cell_angle_gamma 60.00
_space_group_name_H-M_alt 'P 1'
_space_group_IT_number 1
loop_
_space_group_symop_operation_xyz
'x,y,z'
loop_
_atom_site_label
_atom_site_type_symbol
_atom_site_fract_x
_atom_site_fract_y
_atom_site_fract_z
H1 H 0.7500 0.7500 0.7500
H2 H 0.2500 0.2500 0.2500
Pt1 Pt 0.5000 0.5000 0.5000
N1 N 0.0000 0.0000 0.0000
```

The value obtained for the calculated total energy is -0.1421 Ha/atom.

Entry 2:
This record from the Alexandria database describes a relaxed H3PtN crystal. The functional is PBE.

```
data_H3PtN
_chemical_formula_sum 'H3 Pt1 N1'
_cell_length_a 3.2078
_cell_length_b 3.2078
_cell_length_c 3.2078
_cell_angle_alpha 90.00
_cell_angle_beta 90.00
_cell_angle_gamma 90.00
_space_group_name_H-M_alt 'P 1'
_space_group_IT_number 1
loop_
_space_group_symop_operation_xyz
'x,y,z'
loop_
_atom_site_label
_atom_site_type_symbol
_atom_site_fract_x
_atom_site_fract_y
_atom_site_fract_z
H1 H 0.0000 0.0000 0.5000
H2 H 0.0000 0.5000 0.0000
H3 H 0.5000 0.0000 0.0000
Pt1 Pt 0.5000 0.5000 0.5000
N1 N 0.0000 0.0000 0.0000
```

The value obtained for the calculated total energy is -0.1323 Ha/atom.

Entry 3:
This record from the Alexandria database describes a relaxed H2PtN crystal. The functional is PBE.

```
data_H2PtN
_chemical_formula_sum 'H4 Pt2 N2'
_cell_length_a 4.3914
_cell_length_b 4.3914
_cell_length_c 4.3835
_cell_angle_alpha 59.94
_cell_angle_beta 59.94
_cell_angle_gamma 90.00
_space_group_name_H-M_alt 'P 1'
_space_group_IT_number 1
loop_
_space_group_symop_operation_xyz
'x,y,z'
loop_
_atom_site_label
_atom_site_type_symbol
_atom_site_fract_x
_atom_site_fract_y
_atom_site_fract_z
H1 H 0.3750 0.6253 0.7500
H2 H 0.8750 0.6247 0.7500
H3 H 0.3747 0.1250 0.2500
H4 H 0.3753 0.6250 0.2500
N1 N 0.5000 0.5000 0.0000
N2 N 0.2500 0.7500 0.5000
Pt1 Pt 0.7500 0.2500 0.5000
Pt2 Pt 0.0000 0.0000 0.0000
```

The value obtained for the calculated total energy is -0.1627 Ha/atom.

Entry 4:
This record from the Alexandria database describes a relaxed HPt2N crystal. The functional is PBE.

```
data_HPt2N
_chemical_formula_sum 'H2 Pt4 N2'
_cell_length_a 4.5548
_cell_length_b 4.5548
_cell_length_c 5.5203
_cell_angle_alpha 65.63
_cell_angle_beta 65.63
_cell_angle_gamma 90.00
_space_group_name_H-M_alt 'P 1'
_space_group_IT_number 1
loop_
_space_group_symop_operation_xyz
'x,y,z'
loop_
_atom_site_label
_atom_site_type_symbol
_atom_site_fract_x
_atom_site_fract_y
_atom_site_fract_z
Pt1 Pt 0.3750 0.4067 0.7500
Pt2 Pt 0.8750 0.8433 0.7500
Pt3 Pt 0.1567 0.6250 0.2500
Pt4 Pt 0.5933 0.1250 0.2500
H1 H 0.5000 0.5000 0.0000
H2 H 0.2500 0.7500 0.5000
N1 N 0.7500 0.2500 0.5000
N2 N 0.0000 0.0000 0.0000
```

The value obtained for the calculated total energy is -0.1981 Ha/atom.

Entry 5:
This record from the Alexandria database describes a relaxed H3PtN crystal. The functional is PBE.

```
data_H3PtN
_chemical_formula_sum 'H3 Pt1 N1'
_cell_length_a 3.5030
_cell_length_b 3.5030
_cell_length_c 3.5030
_cell_angle_alpha 90.00
_cell_angle_beta 90.00
_cell_angle_gamma 90.00
_space_group_name_H-M_alt 'P 1'
_space_group_IT_number 1
loop_
_space_group_symop_operation_xyz
'x,y,z'
loop_
_atom_site_label
_atom_site_type_symbol
_atom_site_fract_x
_atom_site_fract_y
_atom_site_fract_z
Pt1 Pt 0.0000 0.0000 0.0000
H1 H 0.5000 0.0000 0.0000
H2 H 0.0000 0.5000 0.0000
H3 H 0.0000 0.0000 0.5000
N1 N 0.5000 0.5000 0.5000
```

The value obtained for the calculated total energy is -0.1368 Ha/atom.

Entry 6:
This record from the Alexandria database describes a relaxed HPtS2N crystal. The functional is PBE.

```
data_HPtS2N
_chemical_formula_sum 'H1 Pt1 S2 N1'
_cell_length_a 5.0201
_cell_length_b 5.0201
_cell_length_c 3.6611
_cell_angle_alpha 90.00
_cell_angle_beta 90.00
_cell_angle_gamma 90.00
_space_group_name_H-M_alt 'P 1'
_space_group_IT_number 1
loop_
_space_group_symop_operation_xyz
'x,y,z'
loop_
_atom_site_label
_atom_site_type_symbol
_atom_site_fract_x
_atom_site_fract_y
_atom_site_fract_z
S1 S 0.5000 0.0000 0.0000
S2 S 0.0000 0.5000 0.0000
Pt1 Pt 0.0000 0.0000 0.0000
H1 H 0.5000 0.5000 0.5000
N1 N 0.0000 0.0000 0.5000
```

The value obtained for the calculated total energy is -0.1412 Ha/atom.

Entry 7:
This record from the Alexandria database describes a relaxed HPtSN2 crystal. The functional is PBE.

```
data_HPtSN2
_chemical_formula_sum 'H1 Pt1 S1 N2'
_cell_length_a 3.8952
_cell_length_b 3.8952
_cell_length_c 3.0915
_cell_angle_alpha 90.00
_cell_angle_beta 90.00
_cell_angle_gamma 90.00
_space_group_name_H-M_alt 'P 1'
_space_group_IT_number 1
loop_
_space_group_symop_operation_xyz
'x,y,z'
loop_
_atom_site_label
_atom_site_type_symbol
_atom_site_fract_x
_atom_site_fract_y
_atom_site_fract_z
Pt1 Pt 0.5000 0.5000 0.5000
H1 H 0.0000 0.0000 0.0000
N1 N 0.5000 0.0000 0.0000
N2 N 0.0000 0.5000 0.0000
S1 S 0.0000 0.0000 0.5000
```

The value obtained for the calculated total energy is -0.1473 Ha/atom.

Entry 8:
This record from the Alexandria database describes a relaxed HPtS2N crystal. The functional is PBE.

```
data_HPtS2N
_chemical_formula_sum 'H1 Pt1 S2 N1'
_cell_length_a 4.6595
_cell_length_b 4.6595
_cell_length_c 2.6669
_cell_angle_alpha 90.00
_cell_angle_beta 90.00
_cell_angle_gamma 90.00
_space_group_name_H-M_alt 'P 1'
_space_group_IT_number 1
loop_
_space_group_symop_operation_xyz
'x,y,z'
loop_
_atom_site_label
_atom_site_type_symbol
_atom_site_fract_x
_atom_site_fract_y
_atom_site_fract_z
Pt1 Pt 0.5000 0.5000 0.5000
H1 H 0.0000 0.0000 0.0000
N1 N 0.0000 0.0000 0.5000
S1 S 0.0000 0.5000 0.0000
S2 S 0.5000 0.0000 0.0000
```

The value obtained for the calculated total energy is -0.1472 Ha/atom.

Entry 9:
This record from the Alexandria database describes a relaxed HPtSN2 crystal. The functional is PBE.

```
data_HPtSN2
_chemical_formula_sum 'H1 Pt1 S1 N2'
_cell_length_a 3.7258
_cell_length_b 3.7258
_cell_length_c 5.4196
_cell_angle_alpha 90.00
_cell_angle_beta 90.00
_cell_angle_gamma 90.00
_space_group_name_H-M_alt 'P 1'
_space_group_IT_number 1
loop_
_space_group_symop_operation_xyz
'x,y,z'
loop_
_atom_site_label
_atom_site_type_symbol
_atom_site_fract_x
_atom_site_fract_y
_atom_site_fract_z
N1 N 0.5000 0.0000 0.0000
N2 N 0.0000 0.5000 0.0000
H1 H 0.5000 0.5000 0.5000
Pt1 Pt 0.0000 0.0000 0.0000
S1 S 0.0000 0.0000 0.5000
```

The value obtained for the calculated total energy is -0.1582 Ha/atom.

Entry 10:
This record from the Alexandria database describes a relaxed HPtSeN2 crystal. The functional is PBE.

```
data_HPtSeN2
_chemical_formula_sum 'H1 Pt1 Se1 N2'
_cell_length_a 3.7270
_cell_length_b 3.7270
_cell_length_c 5.7472
_cell_angle_alpha 90.00
_cell_angle_beta 90.00
_cell_angle_gamma 90.00
_space_group_name_H-M_alt 'P 1'
_space_group_IT_number 1
loop_
_space_group_symop_operation_xyz
'x,y,z'
loop_
_atom_site_label
_atom_site_type_symbol
_atom_site_fract_x
_atom_site_fract_y
_atom_site_fract_z
H1 H 0.5000 0.5000 0.5000
N1 N 0.5000 0.0000 0.0000
N2 N 0.0000 0.5000 0.0000
Se1 Se 0.0000 0.0000 0.5000
Pt1 Pt 0.0000 0.0000 0.0000
```

The value obtained for the calculated total energy is -0.1587 Ha/atom.

Entry 11:
This record from the Alexandria database describes a relaxed HPtSe2N crystal. The functional is PBE.

```
data_HPtSe2N
_chemical_formula_sum 'H1 Pt1 Se2 N1'
_cell_length_a 5.2947
_cell_length_b 5.2947
_cell_length_c 3.6388
_cell_angle_alpha 90.00
_cell_angle_beta 90.00
_cell_angle_gamma 90.00
_space_group_name_H-M_alt 'P 1'
_space_group_IT_number 1
loop_
_space_group_symop_operation_xyz
'x,y,z'
loop_
_atom_site_label
_atom_site_type_symbol
_atom_site_fract_x
_atom_site_fract_y
_atom_site_fract_z
Se1 Se 0.0000 0.5000 0.0000
Se2 Se 0.5000 0.0000 0.0000
H1 H 0.5000 0.5000 0.5000
Pt1 Pt 0.0000 0.0000 0.0000
N1 N 0.0000 0.0000 0.5000
```

The value obtained for the calculated total energy is -0.1388 Ha/atom.

Entry 12:
This record from the Alexandria database describes a relaxed HPtSeN2 crystal. The functional is PBE.

```
data_HPtSeN2
_chemical_formula_sum 'H1 Pt1 Se1 N2'
_cell_length_a 3.9453
_cell_length_b 3.9453
_cell_length_c 3.2681
_cell_angle_alpha 90.00
_cell_angle_beta 90.00
_cell_angle_gamma 90.00
_space_group_name_H-M_alt 'P 1'
_space_group_IT_number 1
loop_
_space_group_symop_operation_xyz
'x,y,z'
loop_
_atom_site_label
_atom_site_type_symbol
_atom_site_fract_x
_atom_site_fract_y
_atom_site_fract_z
N1 N 0.5000 0.0000 0.0000
N2 N 0.0000 0.5000 0.0000
Se1 Se 0.0000 0.0000 0.5000
Pt1 Pt 0.5000 0.5000 0.5000
H1 H 0.0000 0.0000 0.0000
```

The value obtained for the calculated total energy is -0.1438 Ha/atom.